(1)
# PBE with a Hubbard U Na2LiCoF6, optimized geometry
# - Total energy: -4.57 eV per atom
data_Na2LiCoF6
_chemical_formula_sum 'Na4 Li2 Co2 F12'
_symmetry_space_group_name_H-M 'P 1 21/c 1'
_symmetry_Int_Tables_number 14
_cell_length_a 5.339
_cell_length_b 5.471
_cell_length_c 9.271
_cell_angle_alpha 90.00
_cell_angle_beta 125.09
_cell_angle_gamma 90.00
loop_
_symmetry_equiv_pos_as_xyz
'x,y,z'
'-x,-y,-z'
'-x,y+1/2,-z+1/2'
'x,-y+1/2,z+1/2'
loop_
_atom_site_label
_atom_site_fract_x
_atom_site_fract_y
_atom_site_fract_z
_atom_site_occupancy
Na1 0.237 0.051 0.250 1
Li1 0.000 0.000 0.500 1
Co1 0.500 0.000 0.000 1
F1 0.175 0.194 0.957 1
F2 0.264 0.719 0.954 1
F3 0.347 0.024 0.762 1

(2)
# PBE with a Hubbard U LiNbCoF2, optimized geometry
# - Total energy: -4.86 eV per atom
data_LiNbCoF2
_chemical_formula_sum 'Li1 Nb1 Co1 F2'
_symmetry_space_group_name_H-M 'P 4/m m m'
_symmetry_Int_Tables_number 123
_symmetry_space_group_name_Hall '-P 4 2'
_cell_length_a 4.188
_cell_length_b 4.188
_cell_length_c 4.584
_cell_angle_alpha 90.00
_cell_angle_beta 90.00
_cell_angle_gamma 90.00
loop_
_atom_site_label
_atom_site_fract_x
_atom_site_fract_y
_atom_site_fract_z
_atom_site_occupancy
Li1 0.000 0.000 0.000 1
Nb1 0.500 0.500 0.500 1
Co1 0.500 0.500 0.000 1
F1 0.000 0.500 0.500 1

(3)
# PBE with a Hubbard U LiCo2NiF8, optimized geometry
# - Total energy: -4.69 eV per atom
data_LiCo2NiF8
_chemical_formula_sum 'Li2 Co4 Ni2 F16'
_symmetry_space_group_name_H-M 'C m m m'
_symmetry_Int_Tables_number 65
_symmetry_space_group_name_Hall '-C 2 2'
_cell_length_a 6.512
_cell_length_b 6.674
_cell_length_c 6.250
_cell_angle_alpha 90.00
_cell_angle_beta 90.00
_cell_angle_gamma 90.00
loop_
_atom_site_label
_atom_site_fract_x
_atom_site_fract_y
_atom_site_fract_z
_atom_site_occupancy
Li1 0.000 0.000 0.000 1
Co1 0.000 0.500 0.246 1
Ni1 0.000 0.000 0.500 1
F1 0.000 0.307 0.500 1
F2 0.000 0.309 0.000 1
F3 0.203 0.000 0.255 1

(4)
# PBE with a Hubbard U LiCo2O2F3, optimized geometry
# - Total energy: -5.16 eV per atom
data_LiCo2O2F3
_chemical_formula_sum 'Li4 Co8 O8 F12'
_symmetry_space_group_name_H-M 'C m c m'
_symmetry_Int_Tables_number 63
_symmetry_space_group_name_Hall '-C 2c 2'
_cell_length_a 3.650
_cell_length_b 9.823
_cell_length_c 10.401
_cell_angle_alpha 90.00
_cell_angle_beta 90.00
_cell_angle_gamma 90.00
loop_
_atom_site_label
_atom_site_fract_x
_atom_site_fract_y
_atom_site_fract_z
_atom_site_occupancy
Li1 0.000 0.174 0.250 1
Co1 0.000 0.147 0.558 1
O1 0.000 0.325 0.046 1
F1 0.000 0.040 0.119 1
F2 0.000 0.236 0.750 1

(5)
# PBE with a Hubbard U Li4Co2OF7, optimized geometry
# - Energy relative to the lowest polymorph listed for this composition: 0.00 kcal/mol of atoms
# - Total energy: -4.98 eV per atom
data_Li4Co2OF7
_chemical_formula_sum 'Li16 Co8 O4 F28'
_symmetry_space_group_name_H-M 'C 1 c 1'
_symmetry_Int_Tables_number 9
_cell_length_a 10.322
_cell_length_b 6.009
_cell_length_c 10.380
_cell_angle_alpha 90.00
_cell_angle_beta 110.33
_cell_angle_gamma 90.00
loop_
_symmetry_equiv_pos_as_xyz
'x,y,z'
'x,-y,z+1/2'
'x+1/2,y+1/2,z'
'x+1/2,-y+1/2,z+1/2'
loop_
_atom_site_label
_atom_site_fract_x
_atom_site_fract_y
_atom_site_fract_z
_atom_site_occupancy
Li1 0.000 0.247 0.000 1
Li2 0.183 0.251 0.566 1
Li3 0.358 0.251 0.127 1
Li4 0.429 0.252 0.815 1
Co1 0.167 0.478 0.302 1
Co2 0.177 0.006 0.312 1
O1 0.066 0.263 0.202 1
F1 0.061 0.256 0.692 1
F2 0.064 0.017 0.437 1
F3 0.064 0.488 0.435 1
F4 0.289 0.265 0.922 1
F5 0.299 0.259 0.439 1
F6 0.299 0.485 0.699 1
F7 0.300 0.015 0.697 1

(6)
# PBE with a Hubbard U Li5CoOF5, optimized geometry
# - Total energy: -5.01 eV per atom
data_Li5CoOF5
_chemical_formula_sum 'Li5 Co1 O1 F5'
_symmetry_space_group_name_H-M 'P 4/m m m'
_symmetry_Int_Tables_number 123
_symmetry_space_group_name_Hall '-P 4 2'
_cell_length_a 2.911
_cell_length_b 2.911
_cell_length_c 12.565
_cell_angle_alpha 90.00
_cell_angle_beta 90.00
_cell_angle_gamma 90.00
loop_
_atom_site_label
_atom_site_fract_x
_atom_site_fract_y
_atom_site_fract_z
_atom_site_occupancy
Li1 0.000 0.000 0.000 1
Li2 0.000 0.000 0.327 1
Li3 0.500 0.500 0.161 1
Co1 0.500 0.500 0.500 1
O1 0.000 0.000 0.500 1
F1 0.000 0.000 0.162 1
F2 0.500 0.500 0.000 1
F3 0.500 0.500 0.322 1

(7)
# PBE with a Hubbard U LiCo5O7F, optimized geometry
# - Energy relative to the lowest polymorph listed for this composition: 0.00 kcal/mol of atoms
# - Total energy: -5.78 eV per atom
data_LiCo5O7F
_chemical_formula_sum 'Li2 Co10 O14 F2'
_symmetry_space_group_name_H-M 'P 1'
_symmetry_Int_Tables_number 1
_cell_length_a 5.776
_cell_length_b 5.808
_cell_length_c 10.120
_cell_angle_alpha 91.18
_cell_angle_beta 105.13
_cell_angle_gamma 119.55
loop_
_symmetry_equiv_pos_as_xyz
'x,y,z'
loop_
_atom_site_label
_atom_site_fract_x
_atom_site_fract_y
_atom_site_fract_z
_atom_site_occupancy
Li1 0.000 0.000 0.000 1
Li2 0.010 0.516 0.508 1
Co1 0.122 0.097 0.700 1
Co2 0.124 0.602 0.201 1
Co3 0.238 0.661 0.886 1
Co4 0.240 0.175 0.393 1
Co5 0.613 0.335 0.945 1
Co6 0.614 0.093 0.201 1
Co7 0.614 0.860 0.450 1
Co8 0.617 0.592 0.700 1
Co9 0.618 0.586 0.196 1
Co10 0.623 0.089 0.698 1
O1 0.359 0.967 0.320 1
O2 0.364 0.450 0.805 1
O3 0.378 0.003 0.814 1
O4 0.385 0.515 0.319 1
O5 0.387 0.723 0.094 1
O6 0.389 0.227 0.596 1
O7 0.407 0.206 0.070 1
O8 0.422 0.735 0.582 1
O9 0.824 0.448 0.816 1
O10 0.832 0.973 0.324 1
O11 0.851 0.662 0.077 1
O12 0.851 0.957 0.798 1
O13 0.852 0.461 0.298 1
O14 0.864 0.179 0.583 1
F1 0.886 0.722 0.589 1
F2 0.888 0.209 0.074 1

(8)
# PBE with a Hubbard U Li2CoOF2, optimized geometry
# - Total energy: -5.19 eV per atom
data_Li2CoOF2
_chemical_formula_sum 'Li4 Co2 O2 F4'
_symmetry_space_group_name_H-M 'P 4/n m m'
_symmetry_Int_Tables_number 129
_cell_length_a 2.941
_cell_length_b 2.941
_cell_length_c 12.717
_cell_angle_alpha 90.00
_cell_angle_beta 90.00
_cell_angle_gamma 90.00
loop_
_symmetry_equiv_pos_as_xyz
'x,y,z'
'-x,-y,-z'
'-y+1/2,x,z'
'y+1/2,-x,-z'
'-x+1/2,-y+1/2,z'
'x+1/2,y+1/2,-z'
'y,-x+1/2,z'
'-y,x+1/2,-z'
'x+1/2,-y,-z'
'-x+1/2,y,z'
'-y,-x,-z'
'y,x,z'
'-x,y+1/2,-z'
'x,-y+1/2,z'
'y+1/2,x+1/2,-z'
'-y+1/2,-x+1/2,z'
loop_
_atom_site_label
_atom_site_fract_x
_atom_site_fract_y
_atom_site_fract_z
_atom_site_occupancy
Li1 0.250 0.250 0.079 1
Li2 0.250 0.250 0.759 1
Co1 0.250 0.250 0.414 1
O1 0.250 0.250 0.590 1
F1 0.250 0.250 0.237 1
F2 0.250 0.250 0.920 1

(9)
# PBE with a Hubbard U LiCo5O7F, optimized geometry
# - Energy relative to the lowest polymorph listed for this composition: 0.07 kcal/mol of atoms
# - Total energy: -5.78 eV per atom
data_LiCo5O7F
_chemical_formula_sum 'Li3 Co15 O21 F3'
_symmetry_space_group_name_H-M 'R 3 m'
_symmetry_Int_Tables_number 160
_symmetry_space_group_name_Hall 'R 3 -2"'
_cell_length_a 5.9022
_cell_length_b 5.9022
_cell_length_c 14.0917
_cell_angle_alpha 90.00
_cell_angle_beta 90.00
_cell_angle_gamma 120.00
loop_
_atom_site_label
_atom_site_fract_x
_atom_site_fract_y
_atom_site_fract_z
_atom_site_occupancy
Li1 0.0000 0.0000 0.0000 1
Co1 0.0000 0.0000 0.3847 1
Co2 0.0000 0.0000 0.7719 1
Co3 0.1703 0.3405 0.2235 1
O1 0.0000 0.0000 0.6375 1
O2 0.0406 0.5203 0.1433 1
O3 0.1891 0.3782 0.9623 1
F1 0.0000 0.0000 0.1311 1

(10)
# PBE with a Hubbard U Li3CoO2F, optimized geometry
# - Energy relative to the lowest polymorph listed for this composition: 0.00 kcal/mol of atoms
# - Total energy: -5.11 eV per atom
data_Li3CoO2F
_chemical_formula_sum 'Li12 Co4 O8 F4'
_symmetry_space_group_name_H-M 'P n n m'
_symmetry_Int_Tables_number 58
_cell_length_a 8.375
_cell_length_b 9.604
_cell_length_c 3.683
_cell_angle_alpha 90.00
_cell_angle_beta 90.00
_cell_angle_gamma 90.00
loop_
_symmetry_equiv_pos_as_xyz
'x,y,z'
'-x,-y,-z'
'-x,-y,z'
'x,y,-z'
'x+1/2,-y+1/2,-z+1/2'
'-x+1/2,y+1/2,z+1/2'
'-x+1/2,y+1/2,-z+1/2'
'x+1/2,-y+1/2,z+1/2'
loop_
_atom_site_label
_atom_site_fract_x
_atom_site_fract_y
_atom_site_fract_z
_atom_site_occupancy
Li1 0.100 0.167 0.000 1
Li2 0.112 0.913 0.500 1
Li3 0.153 0.332 0.500 1
Co1 0.132 0.589 0.000 1
O1 0.093 0.382 0.000 1
O2 0.151 0.118 0.500 1
F1 0.124 0.852 0.000 1

(11)
# PBE with a Hubbard U Li2CoOF3, optimized geometry
# - Energy relative to the lowest polymorph listed for this composition: 0.00 kcal/mol of atoms
# - Total energy: -5.01 eV per atom
data_Li2CoOF3
_chemical_formula_sum 'Li8 Co4 O4 F12'
_symmetry_space_group_name_H-M 'P 41'
_symmetry_Int_Tables_number 76
_cell_length_a 5.935
_cell_length_b 5.935
_cell_length_c 8.207
_cell_angle_alpha 90.00
_cell_angle_beta 90.00
_cell_angle_gamma 90.00
loop_
_symmetry_equiv_pos_as_xyz
'x,y,z'
'-y,x,z+1/4'
'-x,-y,z+1/2'
'y,-x,z+3/4'
loop_
_atom_site_label
_atom_site_fract_x
_atom_site_fract_y
_atom_site_fract_z
_atom_site_occupancy
Li1 0.016 0.241 0.000 1
Li2 0.243 0.741 0.117 1
Co1 0.255 0.501 0.746 1
O1 0.296 0.478 0.972 1
F1 0.008 0.745 0.741 1
F2 0.032 0.263 0.752 1
F3 0.221 0.506 0.506 1

(12)
# PBE with a Hubbard U Li5Co7O3F13, optimized geometry
# - Energy relative to the lowest polymorph listed for this composition: 0.77 kcal/mol of atoms
# - Total energy: -5.07 eV per atom
data_Li5Co7O3F13
_chemical_formula_sum 'Li5 Co7 O3 F13'
_symmetry_space_group_name_H-M 'P 1'
_symmetry_Int_Tables_number 1
_cell_length_a 5.885
_cell_length_b 5.971
_cell_length_c 10.229
_cell_angle_alpha 75.71
_cell_angle_beta 83.68
_cell_angle_gamma 60.80
loop_
_symmetry_equiv_pos_as_xyz
'x,y,z'
loop_
_atom_site_label
_atom_site_fract_x
_atom_site_fract_y
_atom_site_fract_z
_atom_site_occupancy
Li1 0.000 0.000 0.000 1
Li2 0.012 0.298 0.437 1
Li3 0.311 0.407 0.885 1
Li4 0.489 0.311 0.450 1
Li5 0.979 0.410 0.170 1
Co1 0.171 0.859 0.677 1
Co2 0.470 0.445 0.177 1
Co3 0.487 0.913 0.192 1
Co4 0.621 0.728 0.933 1
Co5 0.662 0.862 0.666 1
Co6 0.696 0.350 0.681 1
Co7 0.990 0.831 0.419 1
O1 0.354 0.800 0.073 1
O2 0.501 0.639 0.779 1
O3 0.843 0.067 0.562 1
F1 0.014 0.104 0.803 1
F2 0.147 0.052 0.305 1
F3 0.173 0.518 0.324 1
F4 0.309 0.303 0.075 1
F5 0.326 0.597 0.551 1
F6 0.332 0.092 0.550 1
F7 0.528 0.116 0.807 1
F8 0.644 0.052 0.303 1
F9 0.678 0.508 0.306 1
F10 0.801 0.331 0.052 1
F11 0.819 0.792 0.073 1
F12 0.836 0.587 0.539 1
F13 0.976 0.644 0.809 1

What is the formula in the twelfth record? Li5Co7O3F13